# 1
Crystalline Na5In5Hg at its relaxed geometry, computed with PBE.

Cell and atoms, written as extended XYZ:
```
11
Lattice="6.016 0.000 0.000 -3.008 5.210 0.000 0.000 0.000 10.954" Properties=species:S:1:pos:R:3 pbc="T T T"
Na 0.000 0.000 0.000
Na 0.000 3.473 3.529
Na 0.000 3.473 7.425
Na 3.008 1.737 2.308
Na 3.008 1.737 8.647
In 0.000 0.000 2.978
In 0.000 0.000 7.976
In 1.532 0.885 5.477
In 4.483 0.885 5.477
In 3.008 3.440 5.477
Hg 0.000 3.473 0.000
```

Properties
The density of states at the Fermi level comes out at 4.681 states/eV per cell. The total energy is -1.961 eV per atom. Its symmetry is No. 187.



# 2
Crystalline Na15InHg4 at its relaxed geometry, computed with PBE.

Cell and atoms, written as extended XYZ:
```
20
Lattice="5.110 0.000 0.000 0.000 5.110 0.000 0.000 0.000 22.349" Properties=species:S:1:pos:R:3 pbc="T T T"
Na 0.000 0.000 0.000
Na 0.000 0.000 4.452
Na 0.000 0.000 8.931
Na 0.000 0.000 13.419
Na 0.000 0.000 17.898
Na 0.000 2.555 2.233
Na 0.000 2.555 6.678
Na 0.000 2.555 11.175
Na 0.000 2.555 15.671
Na 0.000 2.555 20.117
Na 2.555 0.000 2.233
Na 2.555 0.000 6.678
Na 2.555 0.000 11.175
Na 2.555 0.000 15.671
Na 2.555 0.000 20.117
In 2.555 2.555 0.000
Hg 2.555 2.555 4.420
Hg 2.555 2.555 8.933
Hg 2.555 2.555 13.417
Hg 2.555 2.555 17.929
```

Properties
The density of states at the Fermi level comes out at 5.525 states/eV per cell. The total energy is -1.307 eV per atom. Its symmetry is No. 123.



# 3
Crystalline Na3InHg at its relaxed geometry, computed with PBE.

Cell and atoms, written as extended XYZ:
```
10
Lattice="6.142 0.000 0.000 0.000 5.791 0.000 -1.953 0.000 7.940" Properties=species:S:1:pos:R:3 pbc="T T T"
Na 0.000 0.000 0.000
Na 0.000 2.896 0.000
Na 1.320 1.448 3.244
Na 1.231 1.448 6.779
Na 2.958 4.343 1.161
Na 2.868 4.343 4.696
In -0.325 4.343 2.994
In 4.514 1.448 4.946
Hg -0.042 4.343 5.933
Hg 4.231 1.448 2.007
```

Properties
The density of states at the Fermi level comes out at 4.424 states/eV per cell. As for the relative energy among the computed polymorphs: 0.000 eV/atom. Its symmetry is No. 11.



# 4
Crystalline Na3In2Hg3 at its relaxed geometry, computed with PBE.

Cell and atoms, written as extended XYZ:
```
8
Lattice="4.094 0.000 0.000 0.002 4.940 0.000 2.027 2.371 10.208" Properties=species:S:1:pos:R:3 pbc="T T T"
Na 0.000 0.000 0.000
Na 2.032 4.859 7.655
Na 4.092 2.452 2.553
In 2.040 2.422 5.270
In 4.084 4.889 4.938
Hg 2.048 4.931 2.448
Hg 2.048 2.470 0.000
Hg 4.076 2.380 7.760
```

Properties
The density of states at the Fermi level comes out at 3.121 states/eV per cell. The total energy is -1.478 eV per atom. Its symmetry is No. 2.



# 5
Crystalline Na6In2Hg at its relaxed geometry, computed with PBE.

Cell and atoms, written as extended XYZ:
```
9
Lattice="2.760 1.593 10.470 -2.760 1.593 10.470 0.000 -3.187 10.470" Properties=species:S:1:pos:R:3 pbc="T T T"
Na 0.000 0.000 2.449
Na 0.000 0.000 6.244
Na 0.000 0.000 9.665
Na 0.000 0.000 21.746
Na 0.000 0.000 25.166
Na 0.000 0.000 28.961
In 0.000 0.000 12.886
In 0.000 0.000 18.524
Hg 0.000 0.000 15.705
```

Properties
The density of states at the Fermi level comes out at 3.411 states/eV per cell. As for the relative energy among the computed polymorphs: 0.000 eV/atom. Its symmetry is No. 166.



# 6
Crystalline NaIn4Hg15 at its relaxed geometry, computed with PBE.

Cell and atoms, written as extended XYZ:
```
20
Lattice="5.056 0.000 0.000 0.000 5.056 0.000 0.000 0.000 20.557" Properties=species:S:1:pos:R:3 pbc="T T T"
Na 0.000 0.000 0.000
In 0.000 0.000 4.149
In 0.000 0.000 8.205
In 0.000 0.000 12.351
In 0.000 0.000 16.408
Hg 0.000 2.528 2.044
Hg 0.000 2.528 6.166
Hg 0.000 2.528 10.278
Hg 0.000 2.528 14.390
Hg 0.000 2.528 18.513
Hg 2.528 0.000 2.044
Hg 2.528 0.000 6.166
Hg 2.528 0.000 10.278
Hg 2.528 0.000 14.390
Hg 2.528 0.000 18.513
Hg 2.528 2.528 0.000
Hg 2.528 2.528 4.070
Hg 2.528 2.528 8.233
Hg 2.528 2.528 12.324
Hg 2.528 2.528 16.487
```

Properties
The density of states at the Fermi level comes out at 4.366 states/eV per cell. The total energy is -0.884 eV per atom. Its symmetry is No. 123.



# 7
Crystalline Na3InHg at its relaxed geometry, computed with PBE.

Cell and atoms, written as extended XYZ:
```
10
Lattice="5.784 -4.544 0.000 5.784 4.544 0.000 -4.890 0.000 6.146" Properties=species:S:1:pos:R:3 pbc="T T T"
Na -0.789 0.000 1.792
Na -0.573 1.710 5.007
Na -0.573 -1.710 5.007
Na 7.250 1.710 1.139
Na 7.250 -1.710 1.139
Na 7.466 0.000 4.354
In 1.899 0.000 3.668
In 4.778 0.000 2.478
Hg 2.449 0.000 0.709
Hg 4.228 0.000 5.437
```

Properties
The density of states at the Fermi level comes out at 6.034 states/eV per cell. As for the relative energy among the computed polymorphs: 0.045 eV/atom. Its symmetry is No. 12.



# 8
Crystalline Na5InHg2 at its relaxed geometry, computed with PBE.

Cell and atoms, written as extended XYZ:
```
8
Lattice="-2.133 4.974 5.622 2.133 -4.974 5.622 2.133 4.974 -5.622" Properties=species:S:1:pos:R:3 pbc="T T T"
Na 0.000 0.000 0.000
Na 2.133 1.906 -1.720
Na 2.133 1.906 1.720
Na 0.000 3.068 3.902
Na 0.000 3.068 7.342
In 0.000 4.974 0.000
Hg 0.000 0.000 3.360
Hg 0.000 0.000 7.884
```

Properties
The density of states at the Fermi level comes out at 2.521 states/eV per cell. As for the relative energy among the computed polymorphs: 0.048 eV/atom. Its symmetry is No. 71.



# 9
Crystalline NaIn3Hg at its relaxed geometry, computed with PBE.

Cell and atoms, written as extended XYZ:
```
10
Lattice="3.716 -6.448 0.000 3.716 6.448 0.000 0.000 0.000 6.252" Properties=species:S:1:pos:R:3 pbc="T T T"
Na 3.716 4.298 4.689
Na 3.716 -4.298 1.563
In 1.533 1.265 4.689
In 1.533 -1.265 1.563
In 3.716 2.523 1.563
In 3.716 -2.523 4.689
In 5.899 1.265 4.689
In 5.899 -1.265 1.563
Hg 3.716 0.000 0.000
Hg 3.716 0.000 3.126
```

Properties
The density of states at the Fermi level comes out at 4.393 states/eV per cell. As for the relative energy among the computed polymorphs: 0.120 eV/atom. Its symmetry is No. 63.



# 10
Crystalline Na2In2Hg7 at its relaxed geometry, computed with PBE.

Cell and atoms, written as extended XYZ:
```
11
Lattice="-2.593 6.641 4.261 2.593 -6.641 4.261 2.593 6.641 -4.261" Properties=species:S:1:pos:R:3 pbc="T T T"
Na 0.000 3.069 0.000
Na 0.000 10.213 0.000
In 0.000 0.000 2.267
In 0.000 6.641 0.091
Hg 2.593 -1.763 1.596
Hg 2.593 1.763 1.596
Hg 2.593 4.819 0.749
Hg 0.000 4.773 2.743
Hg 0.000 1.822 5.010
Hg 0.000 0.000 7.703
Hg 0.000 8.509 2.743
```

Properties
The density of states at the Fermi level comes out at 4.513 states/eV per cell. As for the relative energy among the computed polymorphs: 0.000 eV/atom. Its symmetry is No. 44.



# 11
Crystalline Na2In5Hg12 at its relaxed geometry, computed with PBE.

Cell and atoms, written as extended XYZ:
```
19
Lattice="7.914 -4.395 0.000 7.914 4.395 0.000 -1.974 0.000 7.437" Properties=species:S:1:pos:R:3 pbc="T T T"
Na 7.914 2.462 0.000
Na 7.914 -2.462 0.000
In -0.987 0.000 3.719
In 2.387 0.000 3.528
In 3.830 0.000 6.327
In 10.024 0.000 1.110
In 11.467 0.000 3.910
Hg 3.753 1.788 1.473
Hg 0.347 0.000 6.537
Hg 5.292 1.835 4.267
Hg 8.562 1.835 3.170
Hg 6.399 0.000 1.816
Hg 3.753 -1.788 1.473
Hg 10.101 1.788 5.964
Hg 7.454 0.000 5.622
Hg 5.292 -1.835 4.267
Hg 8.562 -1.835 3.170
Hg 13.507 0.000 0.901
Hg 10.101 -1.788 5.964
```

Properties
The density of states at the Fermi level comes out at 5.349 states/eV per cell. As for the relative energy among the computed polymorphs: 0.011 eV/atom. Its symmetry is No. 12.



# 12
Crystalline Na5InHg2 at its relaxed geometry, computed with PBE.

Cell and atoms, written as extended XYZ:
```
16
Lattice="5.395 0.000 0.000 -2.698 4.673 0.000 0.000 0.000 19.914" Properties=species:S:1:pos:R:3 pbc="T T T"
Na 0.000 0.000 3.136
Na 0.000 0.000 6.822
Na 0.000 0.000 13.093
Na 0.000 0.000 16.779
Na 0.000 3.115 1.032
Na 0.000 3.115 4.979
Na 0.000 3.115 8.925
Na 2.698 1.558 10.989
Na 2.698 1.558 14.936
Na 2.698 1.558 18.882
In 0.000 3.115 14.936
In 2.698 1.558 4.979
Hg 0.000 3.115 12.038
Hg 0.000 3.115 17.834
Hg 2.698 1.558 2.081
Hg 2.698 1.558 7.876
```

Properties
The density of states at the Fermi level comes out at 10.356 states/eV per cell. As for the relative energy among the computed polymorphs: 0.000 eV/atom. Its symmetry is No. 194.



Repeat the third record exactly.
Crystalline Na3InHg at its relaxed geometry, computed with PBE.

Cell and atoms, written as extended XYZ:
```
10
Lattice="6.142 0.000 0.000 0.000 5.791 0.000 -1.953 0.000 7.940" Properties=species:S:1:pos:R:3 pbc="T T T"
Na 0.000 0.000 0.000
Na 0.000 2.896 0.000
Na 1.320 1.448 3.244
Na 1.231 1.448 6.779
Na 2.958 4.343 1.161
Na 2.868 4.343 4.696
In -0.325 4.343 2.994
In 4.514 1.448 4.946
Hg -0.042 4.343 5.933
Hg 4.231 1.448 2.007
```

Properties
The density of states at the Fermi level comes out at 4.424 states/eV per cell. As for the relative energy among the computed polymorphs: 0.000 eV/atom. Its symmetry is No. 11.